SCAN Zr2TcAs, single point on PBEsol structure; formation energy = -76.9 kJ/mol of atoms
1.0
3.453 0.000 0.000
0.000 4.174 0.000
-1.726 0.000 5.027
Zr As Tc
2 1 1
direct
0.981 0.000 0.962
0.269 0.500 0.539
0.703 0.000 0.406
0.532 0.500 0.065